The following is a GGA+U calculation of BaCoN2F after structural relaxation, from the Alexandria database.

Calculated values
Electronic total energy   -28.261 eV per formula unit
Fermi-level density of states   1.19 states/eV per cell

a b c (Å): 3.810 3.810 4.773
angles (deg): 90.00 90.00 90.00
Positions (direct):
Ba 0.000 0.000 0.000
Co 0.500 0.500 0.500
N 0.000 0.500 0.500
N 0.500 0.000 0.500
F 0.500 0.500 0.000